{"formula": "LaHo2Th", "functional": "PBE-GGA", "state": "optimized geometry", "lattice_angstrom": [[3.405, -0.055, -1.229], [-0.166, 6.202, -0.740], [0.490, 1.443, 11.984]], "species": ["La", "La", "Ho", "Ho", "Ho", "Ho", "Th", "Th"], "fractional_positions": [[0.003, 0.803, 0.801], [0.510, 0.302, 0.801], [0.764, 0.637, 0.060], [0.749, 0.468, 0.543], [0.248, 0.968, 0.543], [0.265, 0.137, 0.060], [0.007, 0.302, 0.301], [0.506, 0.802, 0.301]], "e_above_lowest_polymorph_mev_per_atom": 0, "spacegroup": "No. 13", "delta_e_f_ev_per_atom": 0.0019}


{"formula": "Sb2POs", "functional": "PBE-GGA", "state": "optimized geometry", "lattice_angstrom": [[7.175, -1.815, -0.021], [7.175, 1.815, -0.021], [6.725, 0.000, 3.091]], "species": ["Sb", "Sb", "P", "Os"], "fractional_positions": [[0.751, 0.751, 0.751], [0.249, 0.249, 0.249], [0.000, 0.000, 0.000], [0.500, 0.500, 0.500]], "formation_energy_uncorrected_ev_per_atom": 0.478, "spacegroup": "No. 166"}


{"formula": "KAs2PdBr", "functional": "PBE-GGA", "state": "optimized geometry", "lattice_angstrom": [[-1.587, 0.381, 4.408], [-7.081, -3.382, -2.257], [1.720, -4.261, 0.988]], "species": ["As", "Br", "K", "Pd", "As"], "fractional_positions": [[0.500, 0.000, 0.000], [0.000, 0.500, 0.000], [0.500, 0.500, 0.500], [0.000, 0.000, 0.000], [0.000, 0.000, 0.500]], "formation_energy_uncorrected_ev_per_atom": -0.210, "e_above_lowest_polymorph_mev_per_atom": 0, "spacegroup": "No. 123"}


{"formula": "LiSnHgAs", "functional": "PBE-GGA", "state": "optimized geometry", "lattice_angstrom": [[5.058, 0.000, 0.000], [2.529, 4.380, 0.000], [2.529, 1.460, 4.130]], "species": ["Sn", "Hg", "Li", "As"], "fractional_positions": [[0.250, 0.250, 0.250], [0.000, 0.000, 0.000], [0.750, 0.750, 0.750], [0.500, 0.500, 0.500]], "e_above_lowest_polymorph_mev_per_atom": 66, "spacegroup": "No. 216", "delta_e_f_ev_per_atom": -0.1271}


Number 1: total DFT energy (no corrections) -5.3738 eV per atom. Number 2: total DFT energy (no corrections) -5.7431 eV per atom. Number 3: total DFT energy (no corrections) -3.6622 eV per atom. Number 4: total DFT energy (no corrections) -2.8441 eV per atom.